[1]
Density functional theory data (GGA-PBE) for Na3Zr3TiTe8 after structural relaxation.

The total energy comes out at -5.056 eV/atom. For the total moment, the calculation gives 2.35 μB per cell.

The space group is C2/m (No. 12) and the conventional cell measures 13.966, 8.067 and 9.224 Å, with angles of 90.00, 120.29 and 90.00 degrees. The inequivalent atoms are Na at (0.000, 0.000, 0.000), Na at (0.250, 0.250, 0.000), Zr at (0.000, 0.500, 0.500), Zr at (0.250, 0.250, 0.500), Ti at (0.000, 0.000, 0.500), Te at (0.009, 0.245, 0.282), Te at (0.236, 0.000, 0.718) and Te at (0.241, 0.500, 0.725).



[2]
Density functional theory data (GGA-PBE) for Na3ZrTi2Te6 after structural relaxation.

The total energy comes out at -4.757 eV/atom. For the total moment, the calculation gives 5.44 μB per cell.

The space group is C2/m (No. 12) and the conventional cell measures 7.043, 12.217 and 8.049 Å, with angles of 90.00, 106.96 and 90.00 degrees. The inequivalent atoms are Na at (0.000, 0.000, 0.000), Na at (0.000, 0.343, 0.000), Zr at (0.000, 0.500, 0.500), Ti at (0.000, 0.181, 0.500), Te at (0.221, 0.000, 0.706) and Te at (0.248, 0.331, 0.723).



[3]
Density functional theory data (GGA-PBE) for Na3Zr2TiTe6 after structural relaxation.

The total energy comes out at -4.851 eV/atom. For the total moment, the calculation gives 3.13 μB per cell.

The space group is C2/m (No. 12) and the conventional cell measures 7.059, 12.229 and 8.146 Å, with angles of 90.00, 106.82 and 90.00 degrees. The inequivalent atoms are Na at (0.000, 0.000, 0.000), Na at (0.000, 0.329, 0.000), Zr at (0.000, 0.165, 0.500), Ti at (0.000, 0.500, 0.500), Te at (0.236, 0.337, 0.721) and Te at (0.250, 0.000, 0.723).



[4]
Density functional theory data (GGA-PBE) for Na3ZrTi3Te8 after structural relaxation.

The total energy comes out at -4.898 eV/atom. For the total moment, the calculation gives 8.38 μB per cell.

The space group is R-3m (No. 166, hexagonal axes) and the conventional cell measures 7.9737, 7.9737 and 23.3810 Å, with angles of 90.00, 90.00 and 120.00 degrees. The inequivalent atoms are Na at (0.0000, 0.5000, 0.0000), Zr at (0.0000, 0.0000, 0.5000), Ti at (0.0000, 0.5000, 0.5000), Te at (0.0000, 0.0000, 0.2373) and Te at (0.0125, 0.5062, 0.7605).



[5]
Density functional theory data (GGA-PBE) for NaTlTe after structural relaxation.

The total energy comes out at -2.763 eV/atom. For the total moment, the calculation gives 0.00 μB per cell.

The space group is I4mm (No. 107) and the conventional cell measures 4.420, 4.420 and 9.801 Å, with angles of 90.00, 90.00 and 90.00 degrees. The inequivalent atoms are Na at (0.000, 0.000, 0.000), Tl at (0.000, 0.000, 0.316) and Te at (0.000, 0.000, 0.664).



[6]
Density functional theory data (GGA-PBE) for NaTlTe2 after structural relaxation.

The total energy comes out at -2.683 eV/atom. For the total moment, the calculation gives 0.00 μB per cell.

The space group is R-3m (No. 166, hexagonal axes) and the conventional cell measures 3.4686, 3.4686 and 35.6073 Å, with angles of 90.00, 90.00 and 120.00 degrees. The inequivalent atoms are Na at (0.0000, 0.0000, 0.0000), Tl at (0.0000, 0.0000, 0.5000) and Te at (0.0000, 0.0000, 0.4029).



[7]
Density functional theory data (GGA-PBE) for Na3TlTe2 after structural relaxation.

The total energy comes out at -2.746 eV/atom. For the total moment, the calculation gives 0.00 μB per cell.

The space group is Ibam (No. 72) and the conventional cell measures 7.825, 15.610 and 7.211 Å, with angles of 90.00, 90.00 and 90.00 degrees. The inequivalent atoms are Na at (0.000, 0.000, 0.250), Na at (0.000, 0.266, 0.250), Tl at (0.000, 0.500, 0.000) and Te at (0.205, 0.140, 0.000).



[8]
Density functional theory data (GGA-PBE) for NaTl2Te after structural relaxation.

The total energy comes out at -2.681 eV/atom. For the total moment, the calculation gives 0.00 μB per cell.

The space group is P4/mmm (No. 123) and the conventional cell measures 4.823, 4.823 and 5.258 Å, with angles of 90.00, 90.00 and 90.00 degrees. The inequivalent atoms are Na at (0.000, 0.000, 0.000), Tl at (0.000, 0.500, 0.500) and Te at (0.500, 0.500, 0.000).